Entry from Alexandria: a PBEsol-optimized structure of KCeS2O8 (meta-GGA SCAN).

a b c (Å): 5.4551 6.9717 8.3726
angles (deg): 86.14 88.16 88.14
Closest atoms and distances in Å follow each position.
Sites, in units of the cell vectors:
K (0.2454, 0.8491, 0.1837)  8 O 2.67-2.93
K (0.7546, 0.1509, 0.8163)  8 O 2.67-2.93
Ce (0.6788, 0.3191, 0.3001)  8 O 2.43-2.61
Ce (0.3212, 0.6809, 0.6999)  8 O 2.43-2.61
S (0.2224, 0.1947, 0.5437)  4 O 1.47-1.50
S (0.7776, 0.8053, 0.4563)  4 O 1.47-1.50
S (0.2417, 0.3282, 0.0689)  4 O 1.47-1.50
S (0.7583, 0.6718, 0.9311)  4 O 1.47-1.50
O (0.0177, 0.2162, 0.1067)  1 S 1.49
O (0.9823, 0.7838, 0.8933)  1 S 1.49
O (0.2120, 0.0486, 0.6792)  1 S 1.47
O (0.7880, 0.9514, 0.3208)  1 S 1.47
O (0.4634, 0.1955, 0.0746)  1 S 1.50
O (0.5366, 0.8045, 0.9254)  1 S 1.50
O (0.7741, 0.5753, 0.0926)  1 S 1.47
O (0.2259, 0.4247, 0.9074)  1 S 1.47
O (0.2763, 0.4653, 0.1948)  1 S 1.49
O (0.7237, 0.5347, 0.8052)  1 S 1.49
O (0.3854, 0.3553, 0.5788)  1 S 1.50
O (0.6146, 0.6447, 0.4212)  1 S 1.50
O (0.3322, 0.1131, 0.3980)  1 S 1.48
O (0.6678, 0.8869, 0.6020)  1 S 1.48
O (0.0296, 0.7257, 0.4862)  1 S 1.49
O (0.9704, 0.2743, 0.5138)  1 S 1.49

formation energy (no corrections) = -28.11 eV per formula unit
space group = P-1 (2)
total DFT energy (no corrections) = -12.51 eV/atom



Entry from Alexandria: a PBEsol-optimized structure of K2CeSi6O15 (meta-GGA SCAN).

a b c (Å): 8.7344 9.8620 9.8657
angles (deg): 74.21 63.73 63.72
Closest atoms and distances in Å follow each position.
Sites, in units of the cell vectors:
K (0.0978, 0.6543, 0.4991)  6 O 2.73-3.03
K (0.2512, 0.8457, 0.0009)  6 O 2.73-3.03
K (0.9022, 0.3457, 0.5009)  6 O 2.73-3.03
K (0.7488, 0.1543, 0.9991)  6 O 2.73-3.03
Ce (0.8347, 0.7500, 0.2500)  6 O 2.19-2.26
Ce (0.1653, 0.2500, 0.7500)  6 O 2.19-2.26
Si (0.7453, 0.5714, 0.8779)  4 O 1.61-1.65
Si (0.1945, 0.9286, 0.6221)  4 O 1.61-1.65
Si (0.4369, 0.4180, 0.7722)  4 O 1.60-1.66
Si (0.5631, 0.5820, 0.2278)  4 O 1.60-1.66
Si (0.5739, 0.6851, 0.6439)  4 O 1.61-1.65
Si (0.8055, 0.0714, 0.3779)  4 O 1.61-1.65
Si (0.3729, 0.9180, 0.2722)  4 O 1.60-1.66
Si (0.4261, 0.3150, 0.3561)  4 O 1.61-1.65
Si (0.6271, 0.0820, 0.7278)  4 O 1.60-1.66
Si (0.0972, 0.1850, 0.1439)  4 O 1.61-1.65
Si (0.2547, 0.4286, 0.1221)  4 O 1.61-1.65
Si (0.9028, 0.8149, 0.8561)  4 O 1.61-1.65
O (0.3722, 0.4622, 0.9427)  2 Si 1.63-1.64
O (0.7206, 0.9651, 0.8476)  2 Si 1.63-1.64
O (0.2794, 0.0349, 0.1524)  2 Si 1.63-1.64
O (0.3915, 0.7500, 0.2500)  2 Si 1.66
O (0.5332, 0.5349, 0.6524)  2 Si 1.63-1.64
O (0.4102, 0.3149, 0.1961)  2 Si 1.65
O (0.6085, 0.2500, 0.7500)  2 Si 1.66
O (0.3946, 0.8357, 0.6375)  2 Si 1.62-1.63
O (0.7283, 0.5826, 0.2586)  1 Si 1.60
O (0.6054, 0.1643, 0.3625)  2 Si 1.62-1.63
O (0.5695, 0.9174, 0.2414)  1 Si 1.60
O (0.5898, 0.6851, 0.8039)  2 Si 1.65
O (0.9212, 0.1851, 0.3039)  2 Si 1.65
O (0.1254, 0.5812, 0.2076)  1 Si 1.61
O (0.7771, 0.0378, 0.5573)  2 Si 1.63-1.64
O (0.2229, 0.9622, 0.4427)  2 Si 1.63-1.64
O (0.4668, 0.4651, 0.3476)  2 Si 1.63-1.64
O (0.1322, 0.3357, 0.1375)  2 Si 1.62-1.63
O (0.7616, 0.6801, 0.5017)  1 Si 1.61
O (0.4305, 0.0826, 0.7586)  1 Si 1.60
O (0.8746, 0.4188, 0.7924)  1 Si 1.61
O (0.9434, 0.8199, 0.9983)  1 Si 1.61
O (0.9143, 0.9188, 0.2924)  1 Si 1.61
O (0.0857, 0.0812, 0.7076)  1 Si 1.61
O (0.0566, 0.1801, 0.0017)  1 Si 1.61
O (0.0788, 0.8149, 0.6961)  2 Si 1.65
O (0.2717, 0.4174, 0.7414)  1 Si 1.60
O (0.2384, 0.3199, 0.4983)  1 Si 1.61
O (0.8678, 0.6643, 0.8625)  2 Si 1.62-1.63
O (0.6278, 0.5378, 0.0573)  2 Si 1.63-1.64

formation energy (no corrections) = -73.25 eV per formula unit
space group = C2/c (15)
total DFT energy (no corrections) = -12.00 eV/atom



Entry from Alexandria: a PBEsol-optimized structure of KCeW2O8 (meta-GGA SCAN).

a b c (Å): 7.3867 7.3867 7.4803
angles (deg): 113.82 113.82 92.67
Closest atoms and distances in Å follow each position.
Sites, in units of the cell vectors:
K (0.6902, 0.6902, 0.5285)  6 O 2.55-2.85
K (0.3098, 0.3098, 0.4715)  6 O 2.55-2.85
Ce (0.3040, 0.6960, 0.0000)  8 O 2.38-2.51
Ce (0.6960, 0.3040, 0.0000)  8 O 2.38-2.51
W (0.2022, 0.2022, 0.9420)  4 O 1.80-1.99
W (0.7978, 0.7978, 0.0580)  4 O 1.80-1.99
W (0.1638, 0.8362, 0.5000)  4 O 1.79-1.93
W (0.8362, 0.1638, 0.5000)  4 O 1.79-1.93
O (0.0943, 0.3480, 0.7383)  2 W 1.93-2.13
O (0.9057, 0.6520, 0.2617)  2 W 1.93-2.13
O (0.6520, 0.9057, 0.2617)  2 W 1.93-2.13
O (0.3480, 0.0943, 0.7383)  2 W 1.93-2.13
O (0.2197, 0.6890, 0.6477)  1 W 1.79
O (0.7803, 0.3110, 0.3523)  1 W 1.79
O (0.3110, 0.7803, 0.3523)  1 W 1.79
O (0.6890, 0.2197, 0.6477)  1 W 1.79
O (0.9622, 0.7042, 0.9363)  1 W 1.80
O (0.0378, 0.2958, 0.0637)  1 W 1.80
O (0.2958, 0.0378, 0.0637)  1 W 1.80
O (0.7042, 0.9622, 0.9363)  1 W 1.80
O (0.9834, 0.9834, 0.6558)  3 W 1.99-2.16
O (0.0166, 0.0166, 0.3442)  3 W 1.99-2.16
O (0.5734, 0.5734, 0.8926)  1 W 1.86
O (0.4266, 0.4266, 0.1074)  1 W 1.86

formation energy (no corrections) = -32.36 eV per formula unit
space group = C2/m (12)
total DFT energy (no corrections) = -22.87 eV/atom



Entry from Alexandria: a PBEsol-optimized structure of K3CeP2S8 (meta-GGA SCAN).

a b c (Å): 8.9325 9.4562 16.9797
angles (deg): 90.00 90.00 89.83
Closest atoms and distances in Å follow each position.
Sites, in units of the cell vectors:
K (0.1171, 0.1311, 0.7049)  6 S 3.15-3.48
K (0.6131, 0.1292, 0.7882)  7 S 3.25-3.54
K (0.3869, 0.3708, 0.2882)  7 S 3.25-3.54
K (0.3869, 0.8708, 0.2118)  7 S 3.25-3.54
K (0.7331, 0.5147, 0.9709)  6 S 3.12-3.43
K (0.2669, 0.9853, 0.4709)  6 S 3.12-3.43
K (0.2669, 0.4853, 0.0291)  6 S 3.12-3.43
K (0.7331, 0.0147, 0.5291)  6 S 3.12-3.43
K (0.6131, 0.6292, 0.7118)  7 S 3.25-3.54
K (0.8829, 0.8689, 0.2951)  6 S 3.15-3.48
K (0.8829, 0.3689, 0.2049)  6 S 3.15-3.48
K (0.1171, 0.6311, 0.7951)  6 S 3.15-3.48
Ce (0.2216, 0.5309, 0.5123)  9 S 2.85-3.17
Ce (0.7784, 0.9691, 0.0123)  9 S 2.85-3.17
Ce (0.7784, 0.4691, 0.4877)  9 S 2.85-3.17
Ce (0.2216, 0.0309, 0.9877)  9 S 2.85-3.17
P (0.4737, 0.7786, 0.9017)  4 S 2.01-2.07
P (0.9957, 0.7431, 0.6044)  4 S 2.01-2.07
P (0.0043, 0.7569, 0.1044)  4 S 2.01-2.07
P (0.0043, 0.2569, 0.3956)  4 S 2.01-2.07
P (0.9957, 0.2431, 0.8956)  4 S 2.01-2.07
P (0.5263, 0.7214, 0.4017)  4 S 2.01-2.07
P (0.5263, 0.2214, 0.0983)  4 S 2.01-2.07
P (0.4737, 0.2786, 0.5983)  4 S 2.01-2.07
S (0.2192, 0.2762, 0.8829)  1 P 2.03
S (0.3105, 0.6731, 0.3702)  1 P 2.05
S (0.3105, 0.1731, 0.1298)  1 P 2.05
S (0.6895, 0.3269, 0.6298)  1 P 2.05
S (0.0473, 0.7545, 0.9847)  1 P 2.07
S (0.9527, 0.7455, 0.4847)  1 P 2.07
S (0.9527, 0.2455, 0.0153)  1 P 2.07
S (0.0473, 0.2545, 0.5153)  1 P 2.07
S (0.8736, 0.3674, 0.8241)  1 P 2.01
S (0.1264, 0.1326, 0.3241)  1 P 2.01
S (0.1264, 0.6326, 0.1759)  1 P 2.01
S (0.8736, 0.8674, 0.6759)  1 P 2.01
S (0.5394, 0.1790, 0.9788)  1 P 2.07
S (0.4606, 0.3210, 0.4788)  1 P 2.07
S (0.4606, 0.8210, 0.0212)  1 P 2.07
S (0.5394, 0.6790, 0.5212)  1 P 2.07
S (0.3292, 0.9110, 0.8442)  1 P 2.04
S (0.4307, 0.0752, 0.6252)  1 P 2.01
S (0.6708, 0.0890, 0.1558)  1 P 2.04
S (0.3292, 0.4110, 0.6558)  1 P 2.04
S (0.6708, 0.5890, 0.3442)  1 P 2.04
S (0.7808, 0.2238, 0.3829)  1 P 2.03
S (0.7808, 0.7238, 0.1171)  1 P 2.03
S (0.2192, 0.7762, 0.6171)  1 P 2.03
S (0.9615, 0.0319, 0.8720)  1 P 2.06
S (0.0385, 0.4681, 0.3720)  1 P 2.06
S (0.0385, 0.9681, 0.1280)  1 P 2.06
S (0.9615, 0.5319, 0.6280)  1 P 2.06
S (0.4307, 0.5752, 0.8748)  1 P 2.01
S (0.5693, 0.9248, 0.3748)  1 P 2.01
S (0.5693, 0.4248, 0.1252)  1 P 2.01
S (0.6895, 0.8269, 0.8702)  1 P 2.05

formation energy (no corrections) = -17.47 eV per formula unit
space group = P2_1/c (14)
total DFT energy (no corrections) = -13.20 eV/atom



What did the third record say?
Entry from Alexandria: a PBEsol-optimized structure of KCeW2O8 (meta-GGA SCAN).

a b c (Å): 7.3867 7.3867 7.4803
angles (deg): 113.82 113.82 92.67
Closest atoms and distances in Å follow each position.
Sites, in units of the cell vectors:
K (0.6902, 0.6902, 0.5285)  6 O 2.55-2.85
K (0.3098, 0.3098, 0.4715)  6 O 2.55-2.85
Ce (0.3040, 0.6960, 0.0000)  8 O 2.38-2.51
Ce (0.6960, 0.3040, 0.0000)  8 O 2.38-2.51
W (0.2022, 0.2022, 0.9420)  4 O 1.80-1.99
W (0.7978, 0.7978, 0.0580)  4 O 1.80-1.99
W (0.1638, 0.8362, 0.5000)  4 O 1.79-1.93
W (0.8362, 0.1638, 0.5000)  4 O 1.79-1.93
O (0.0943, 0.3480, 0.7383)  2 W 1.93-2.13
O (0.9057, 0.6520, 0.2617)  2 W 1.93-2.13
O (0.6520, 0.9057, 0.2617)  2 W 1.93-2.13
O (0.3480, 0.0943, 0.7383)  2 W 1.93-2.13
O (0.2197, 0.6890, 0.6477)  1 W 1.79
O (0.7803, 0.3110, 0.3523)  1 W 1.79
O (0.3110, 0.7803, 0.3523)  1 W 1.79
O (0.6890, 0.2197, 0.6477)  1 W 1.79
O (0.9622, 0.7042, 0.9363)  1 W 1.80
O (0.0378, 0.2958, 0.0637)  1 W 1.80
O (0.2958, 0.0378, 0.0637)  1 W 1.80
O (0.7042, 0.9622, 0.9363)  1 W 1.80
O (0.9834, 0.9834, 0.6558)  3 W 1.99-2.16
O (0.0166, 0.0166, 0.3442)  3 W 1.99-2.16
O (0.5734, 0.5734, 0.8926)  1 W 1.86
O (0.4266, 0.4266, 0.1074)  1 W 1.86

formation energy (no corrections) = -32.36 eV per formula unit
space group = C2/m (12)
total DFT energy (no corrections) = -22.87 eV/atom



Question: formation energy (no corrections) of number 3 (KCeW2O8)?
Answer: -32.36 eV per formula unit



Question: Number 4 is which compound?
Answer: K3CeP2S8



Question: The lowest total DFT energy (no corrections) belongs to which entry?
Answer: KCeW2O8